#i
A relaxed structure of CsRb3Rh. Source: the Alexandria database, functional PBE.

* space group: Pm-3m (221)
* magnetic moment: 0.000 μB/atom

abc: 7.6984 7.6984 7.6984
angles: 90.00 90.00 90.00
Fractional coordinates of all 5 atoms:
1 Rb 0.5000 0.0000 0.0000
2 Rb 0.0000 0.5000 0.0000
3 Rb 0.0000 0.0000 0.5000
4 Cs 0.0000 0.0000 0.0000
5 Rh 0.5000 0.5000 0.5000



#ii
A relaxed structure of CsRb3Rh. Source: the Alexandria database, functional PBE.

* space group: Pm-3m (221)
* magnetic moment: 0.000 μB/atom

abc: 6.6930 6.6930 6.6930
angles: 90.00 90.00 90.00
Fractional coordinates of all 5 atoms:
1 Cs 0.5000 0.5000 0.5000
2 Rb 0.5000 0.0000 0.0000
3 Rb 0.0000 0.0000 0.5000
4 Rb 0.0000 0.5000 0.0000
5 Rh 0.0000 0.0000 0.0000



So which one wins? Going from most stable to least: #ii, #i.



#i
A relaxed structure of CsRbTl2Rh. Source: the Alexandria database, functional PBE.

* space group: P4/mmm (123)
* magnetic moment: 0.000 μB/atom

abc: 5.4394 5.4394 6.3965
angles: 90.00 90.00 90.00
Fractional coordinates of all 5 atoms:
1 Rh 0.0000 0.0000 0.0000
2 Tl 0.0000 0.5000 0.0000
3 Tl 0.5000 0.0000 0.0000
4 Cs 0.0000 0.0000 0.5000
5 Rb 0.5000 0.5000 0.5000



#ii
A relaxed structure of CsRbTl2Rh. Source: the Alexandria database, functional PBE.

* space group: P4/mmm (123)
* magnetic moment: 0.000 μB/atom

abc: 5.4251 5.4251 6.3456
angles: 90.00 90.00 90.00
Fractional coordinates of all 5 atoms:
1 Tl 0.5000 0.0000 0.0000
2 Tl 0.0000 0.5000 0.0000
3 Rb 0.0000 0.0000 0.5000
4 Cs 0.5000 0.5000 0.5000
5 Rh 0.0000 0.0000 0.0000



So which one wins? Going from most stable to least: #ii, #i.



#i
A relaxed structure of CsRb2Ru. Source: the Alexandria database, functional PBE.

* space group: Fm-3m (225)
* magnetic moment: 0.309 μB/atom

abc: 6.3661 6.3661 6.3661
angles: 60.00 60.00 60.00
Fractional coordinates of all 4 atoms:
1 Cs 0.5000 0.5000 0.5000
2 Rb 0.7500 0.7500 0.7500
3 Rb 0.2500 0.2500 0.2500
4 Ru 0.0000 0.0000 0.0000



#ii
A relaxed structure of CsRb2Ru. Source: the Alexandria database, functional PBE.

* space group: I-42d (122)
* magnetic moment: 0.322 μB/atom

abc: 9.3254 9.3254 9.4974
angles: 60.60 60.60 90.00
Fractional coordinates of all 8 atoms:
1 Rb 0.3750 0.6229 0.7500
2 Rb 0.3771 0.1250 0.2500
3 Rb 0.3729 0.6250 0.2500
4 Rb 0.8750 0.6271 0.7500
5 Cs 0.7500 0.2500 0.5000
6 Cs 0.0000 0.0000 0.0000
7 Ru 0.5000 0.5000 0.0000
8 Ru 0.2500 0.7500 0.5000



So which one wins? Going from most stable to least: #i, #ii.



#i
A relaxed structure of CsRbRu3. Source: the Alexandria database, functional PBE.

* space group: Pm-3m (221)
* magnetic moment: 1.151 μB/atom

abc: 5.0756 5.0756 5.0756
angles: 90.00 90.00 90.00
Fractional coordinates of all 5 atoms:
1 Ru 0.0000 0.5000 0.0000
2 Ru 0.5000 0.0000 0.0000
3 Ru 0.0000 0.0000 0.5000
4 Rb 0.0000 0.0000 0.0000
5 Cs 0.5000 0.5000 0.5000



#ii
A relaxed structure of CsRbRu3. Source: the Alexandria database, functional PBE.

* space group: Pm-3m (221)
* magnetic moment: 0.882 μB/atom

abc: 5.1562 5.1562 5.1562
angles: 90.00 90.00 90.00
Fractional coordinates of all 5 atoms:
1 Ru 0.5000 0.0000 0.0000
2 Ru 0.0000 0.5000 0.0000
3 Ru 0.0000 0.0000 0.5000
4 Rb 0.5000 0.5000 0.5000
5 Cs 0.0000 0.0000 0.0000



So which one wins? Going from most stable to least: #ii, #i.



#i
A relaxed structure of Cs3RbS. Source: the Alexandria database, functional PBE.

* space group: Pm-3m (221)
* magnetic moment: 0.000 μB/atom

abc: 7.0460 7.0460 7.0460
angles: 90.00 90.00 90.00
Fractional coordinates of all 5 atoms:
1 Cs 0.0000 0.0000 0.5000
2 Cs 0.5000 0.0000 0.0000
3 Cs 0.0000 0.5000 0.0000
4 S 0.0000 0.0000 0.0000
5 Rb 0.5000 0.5000 0.5000



#ii
A relaxed structure of Cs3RbS. Source: the Alexandria database, functional PBE.

* space group: Cc (9)
* magnetic moment: 0.000 μB/atom

abc: 9.5132 8.9634 11.4638
angles: 77.00 75.02 113.58
Fractional coordinates of all 10 atoms:
1 S 0.9237 0.7199 0.1120
2 S 0.7967 0.0929 0.3661
3 Cs 0.1194 0.4763 0.1281
4 Cs 0.5980 0.3331 0.3403
5 Cs 0.9194 0.2156 0.5922
6 Cs 0.0084 0.8655 0.3500
7 Cs 0.2725 0.0687 0.8859
8 Cs 0.6993 0.9344 0.1378
9 Rb 0.4593 0.7579 0.5886
10 Rb 0.8088 0.6075 0.8895



So which one wins? Going from most stable to least: #ii, #i.



#i
A relaxed structure of CsRbS3. Source: the Alexandria database, functional PBE.

* space group: Pm-3m (221)
* magnetic moment: 0.800 μB/atom

abc: 6.1058 6.1058 6.1058
angles: 90.00 90.00 90.00
Fractional coordinates of all 5 atoms:
1 S 0.0000 0.0000 0.5000
2 S 0.5000 0.0000 0.0000
3 S 0.0000 0.5000 0.0000
4 Cs 0.5000 0.5000 0.5000
5 Rb 0.0000 0.0000 0.0000



#ii
A relaxed structure of CsRbS3. Source: the Alexandria database, functional PBE.

* space group: Pm-3m (221)
* magnetic moment: 0.331 μB/atom

abc: 5.8191 5.8191 5.8191
angles: 90.00 90.00 90.00
Fractional coordinates of all 5 atoms:
1 S 0.0000 0.5000 0.0000
2 S 0.0000 0.0000 0.5000
3 S 0.5000 0.0000 0.0000
4 Cs 0.0000 0.0000 0.0000
5 Rb 0.5000 0.5000 0.5000



So which one wins? Going from most stable to least: #i, #ii.



#i
A relaxed structure of Cs2Rb2S. Source: the Alexandria database, functional PBE.

* space group: P4/mbm (127)
* magnetic moment: 0.000 μB/atom

abc: 9.0967 9.0967 8.1564
angles: 90.00 90.00 90.00
Fractional coordinates of all 10 atoms:
1 Cs 0.8095 0.3095 0.5000
2 Cs 0.6905 0.8095 0.5000
3 Cs 0.1905 0.6905 0.5000
4 Cs 0.3095 0.1905 0.5000
5 Rb 0.6915 0.1915 0.0000
6 Rb 0.8085 0.6915 0.0000
7 Rb 0.3085 0.8085 0.0000
8 Rb 0.1915 0.3085 0.0000
9 S 0.5000 0.5000 0.0000
10 S 0.0000 0.0000 0.0000



#ii
A relaxed structure of Cs2Rb2S. Source: the Alexandria database, functional PBE.

* space group: P4/mbm (127)
* magnetic moment: 0.000 μB/atom

abc: 9.1111 9.1111 8.4012
angles: 90.00 90.00 90.00
Fractional coordinates of all 10 atoms:
1 Cs 0.8265 0.3265 0.0000
2 Cs 0.1735 0.6735 0.0000
3 Cs 0.3265 0.1735 0.0000
4 Cs 0.6735 0.8265 0.0000
5 S 0.5000 0.5000 0.0000
6 S 0.0000 0.0000 0.0000
7 Rb 0.6862 0.1862 0.5000
8 Rb 0.3138 0.8138 0.5000
9 Rb 0.8138 0.6862 0.5000
10 Rb 0.1862 0.3138 0.5000



So which one wins? Going from most stable to least: #ii, #i.



#i
A relaxed structure of CsRbSb4. Source: the Alexandria database, functional PBE.

* space group: F-43m (216)
* magnetic moment: 0.003 μB/atom

abc: 6.7612 6.7612 6.7612
angles: 60.00 60.00 60.00
Fractional coordinates of all 6 atoms:
1 Sb 0.6342 0.0975 0.6342
2 Sb 0.6342 0.6342 0.0975
3 Sb 0.0975 0.6342 0.6342
4 Sb 0.6342 0.6342 0.6342
5 Rb 0.2500 0.2500 0.2500
6 Cs 0.0000 0.0000 0.0000



#ii
A relaxed structure of CsRbSb4. Source: the Alexandria database, functional PBE.

* space group: C2/c (15)
* magnetic moment: 0.000 μB/atom

abc: 8.5265 9.7532 9.7533
angles: 117.33 109.57 109.57
Fractional coordinates of all 12 atoms:
1 Rb 0.7500 0.6966 0.8034
2 Rb 0.2500 0.3034 0.1966
3 Sb 0.8148 0.0145 0.2846
4 Sb 0.3148 0.7846 0.5145
5 Sb 0.1852 0.9855 0.7154
6 Sb 0.6852 0.2154 0.4855
7 Sb 0.7422 0.0491 0.7199
8 Sb 0.7578 0.7801 0.4509
9 Sb 0.2578 0.9509 0.2801
10 Sb 0.2422 0.2199 0.5491
11 Cs 0.7500 0.3485 0.1515
12 Cs 0.2500 0.6515 0.8485



So which one wins? Going from most stable to least: #ii, #i.



#i
A relaxed structure of CsRb2Sb2. Source: the Alexandria database, functional PBE.

* space group: I4/mmm (139)
* magnetic moment: 0.000 μB/atom

abc: 6.1091 6.1091 8.0071
angles: 67.57 67.57 90.00
Fractional coordinates of all 5 atoms:
1 Rb 0.6274 0.6274 0.7452
2 Rb 0.3726 0.3726 0.2548
3 Cs 0.0000 0.0000 0.0000
4 Sb 0.7500 0.2500 0.5000
5 Sb 0.2500 0.7500 0.5000



#ii
A relaxed structure of CsRb2Sb2. Source: the Alexandria database, functional PBE.

* space group: C2/m (12)
* magnetic moment: 0.024 μB/atom

abc: 6.5860 7.6299 11.0716
angles: 108.59 90.00 115.57
Fractional coordinates of all 10 atoms:
1 Sb 0.1067 0.7126 0.0133
2 Sb 0.6060 0.7126 0.5133
3 Sb 0.3940 0.2874 0.4867
4 Sb 0.8933 0.2874 0.9867
5 Rb 0.5987 0.6968 0.8462
6 Rb 0.9018 0.3032 0.6538
7 Rb 0.0982 0.6968 0.3462
8 Rb 0.4013 0.3032 0.1538
9 Cs 0.7504 0.0000 0.2500
10 Cs 0.2496 0.0000 0.7500



So which one wins? Going from most stable to least: #ii, #i.



#i
A relaxed structure of CsRb2Sb2. Source: the Alexandria database, functional PBE.

* space group: P4/mbm (127)
* magnetic moment: 0.000 μB/atom

abc: 9.6661 9.6661 5.2908
angles: 90.00 90.00 90.00
Fractional coordinates of all 10 atoms:
1 Rb 0.3298 0.1702 0.5000
2 Rb 0.8298 0.3298 0.5000
3 Rb 0.1702 0.6702 0.5000
4 Rb 0.6702 0.8298 0.5000
5 Cs 0.0000 0.0000 0.0000
6 Cs 0.5000 0.5000 0.0000
7 Sb 0.8961 0.6039 0.0000
8 Sb 0.1039 0.3961 0.0000
9 Sb 0.6039 0.1039 0.0000
10 Sb 0.3961 0.8961 0.0000



#ii
A relaxed structure of CsRb2Sb2. Source: the Alexandria database, functional PBE.

* space group: P4/mbm (127)
* magnetic moment: 0.000 μB/atom

abc: 9.8973 9.8973 4.6343
angles: 90.00 90.00 90.00
Fractional coordinates of all 10 atoms:
1 Sb 0.3977 0.1023 0.5000
2 Sb 0.1023 0.6023 0.5000
3 Sb 0.8977 0.3977 0.5000
4 Sb 0.6023 0.8977 0.5000
5 Cs 0.5000 0.5000 0.0000
6 Cs 0.0000 0.0000 0.0000
7 Rb 0.1764 0.3236 0.0000
8 Rb 0.3236 0.8236 0.0000
9 Rb 0.6764 0.1764 0.0000
10 Rb 0.8236 0.6764 0.0000



So which one wins? Going from most stable to least: #i, #ii.



#i
A relaxed structure of CsRbSb3. Source: the Alexandria database, functional PBE.

* space group: Pm-3m (221)
* magnetic moment: 0.000 μB/atom

abc: 6.3858 6.3858 6.3858
angles: 90.00 90.00 90.00
Fractional coordinates of all 5 atoms:
1 Rb 0.5000 0.5000 0.5000
2 Sb 0.0000 0.5000 0.0000
3 Sb 0.0000 0.0000 0.5000
4 Sb 0.5000 0.0000 0.0000
5 Cs 0.0000 0.0000 0.0000



#ii
A relaxed structure of CsRbSb3. Source: the Alexandria database, functional PBE.

* space group: Pm-3m (221)
* magnetic moment: 0.000 μB/atom

abc: 6.2996 6.2996 6.2996
angles: 90.00 90.00 90.00
Fractional coordinates of all 5 atoms:
1 Sb 0.0000 0.0000 0.5000
2 Sb 0.5000 0.0000 0.0000
3 Sb 0.0000 0.5000 0.0000
4 Cs 0.5000 0.5000 0.5000
5 Rb 0.0000 0.0000 0.0000



#iii
A relaxed structure of CsRbSb3. Source: the Alexandria database, functional PBE.

* space group: R3m (160)
* magnetic moment: 0.187 μB/atom

abc: 6.9777 6.9777 13.9651
angles: 75.53 75.53 60.00
Fractional coordinates of all 10 atoms:
1 Sb 0.2232 0.8121 0.7406
2 Sb 0.8121 0.2241 0.7406
3 Sb 0.7232 0.7241 0.2406
4 Sb 0.3121 0.7232 0.2406
5 Sb 0.2241 0.2232 0.7406
6 Sb 0.7241 0.3121 0.2406
7 Rb 0.2152 0.2152 0.3544
8 Rb 0.7152 0.7152 0.8544
9 Cs 0.4969 0.4969 0.5093
10 Cs 0.9969 0.9969 0.0093



So which one wins? Going from most stable to least: #iii, #ii, #i.



#i
A relaxed structure of Cs2Rb2Sb. Source: the Alexandria database, functional PBE.

* space group: P4/mbm (127)
* magnetic moment: 0.173 μB/atom

abc: 9.6964 9.6964 7.1714
angles: 90.00 90.00 90.00
Fractional coordinates of all 10 atoms:
1 Rb 0.7024 0.2024 0.5000
2 Rb 0.2024 0.2976 0.5000
3 Rb 0.2976 0.7976 0.5000
4 Rb 0.7976 0.7024 0.5000
5 Sb 0.5000 0.5000 0.0000
6 Sb 0.0000 0.0000 0.0000
7 Cs 0.8565 0.3565 0.0000
8 Cs 0.1435 0.6435 0.0000
9 Cs 0.6435 0.8565 0.0000
10 Cs 0.3565 0.1435 0.0000



#ii
A relaxed structure of Cs2Rb2Sb. Source: the Alexandria database, functional PBE.

* space group: P4/mbm (127)
* magnetic moment: 0.141 μB/atom

abc: 9.4614 9.4614 7.1390
angles: 90.00 90.00 90.00
Fractional coordinates of all 10 atoms:
1 Cs 0.2923 0.7923 0.5000
2 Cs 0.7923 0.7077 0.5000
3 Cs 0.7077 0.2077 0.5000
4 Cs 0.2077 0.2923 0.5000
5 Rb 0.6492 0.8508 0.0000
6 Rb 0.8508 0.3508 0.0000
7 Rb 0.1492 0.6492 0.0000
8 Rb 0.3508 0.1492 0.0000
9 Sb 0.5000 0.5000 0.0000
10 Sb 0.0000 0.0000 0.0000



So which one wins? Going from most stable to least: #ii, #i.